Here is a relaxed La2SmCd5 crystal from Alexandria. Energies are from PBE-GGA.

Structure (CIF):
```
data_La2SmCd5
_chemical_formula_sum 'La2 Sm1 Cd5'
_cell_length_a 8.763
_cell_length_b 8.763
_cell_length_c 8.763
_cell_angle_alpha 145.29
_cell_angle_beta 145.29
_cell_angle_gamma 49.90
_space_group_name_H-M_alt 'P 1'
_space_group_IT_number 1
_space_group_name_Hall 'P 1'
loop_
_atom_site_label
_atom_site_type_symbol
_atom_site_fract_x
_atom_site_fract_y
_atom_site_fract_z
La1 La 0.236 0.236 0.000
La2 La 0.764 0.764 0.000
Sm1 Sm 0.500 0.500 0.000
Cd1 Cd 0.000 0.000 0.000
Cd2 Cd 0.113 0.613 0.500
Cd3 Cd 0.387 0.887 0.500
Cd4 Cd 0.613 0.113 0.500
Cd5 Cd 0.887 0.387 0.500
```

=====

Here is a relaxed La15SmCd4 crystal from Alexandria. Energies are from PBE-GGA.

Structure (CIF):
```
data_La15SmCd4
_chemical_formula_sum 'La15 Sm1 Cd4'
_cell_length_a 5.800
_cell_length_b 5.800
_cell_length_c 19.886
_cell_angle_alpha 90.00
_cell_angle_beta 90.00
_cell_angle_gamma 90.00
_space_group_name_H-M_alt 'P 1'
_space_group_IT_number 1
_space_group_name_Hall 'P 1'
loop_
_atom_site_label
_atom_site_type_symbol
_atom_site_fract_x
_atom_site_fract_y
_atom_site_fract_z
La1 La 0.000 0.000 0.000
La2 La 0.000 0.000 0.221
La3 La 0.000 0.000 0.390
La4 La 0.000 0.000 0.610
La5 La 0.000 0.000 0.779
La6 La 0.000 0.500 0.115
La7 La 0.000 0.500 0.306
La8 La 0.000 0.500 0.500
La9 La 0.000 0.500 0.694
La10 La 0.000 0.500 0.885
La11 La 0.500 0.000 0.115
La12 La 0.500 0.000 0.306
La13 La 0.500 0.000 0.500
La14 La 0.500 0.000 0.694
La15 La 0.500 0.000 0.885
Sm1 Sm 0.500 0.500 0.000
Cd1 Cd 0.500 0.500 0.208
Cd2 Cd 0.500 0.500 0.404
Cd3 Cd 0.500 0.500 0.596
Cd4 Cd 0.500 0.500 0.792
```

=====

Here is a relaxed La2SmCd crystal from Alexandria. Energies are from PBE-GGA.

Structure (CIF):
```
data_La2SmCd
_chemical_formula_sum 'La2 Sm1 Cd1'
_cell_length_a 3.801
_cell_length_b 3.801
_cell_length_c 9.176
_cell_angle_alpha 90.00
_cell_angle_beta 90.00
_cell_angle_gamma 90.00
_space_group_name_H-M_alt 'P 1'
_space_group_IT_number 1
_space_group_name_Hall 'P 1'
loop_
_atom_site_label
_atom_site_type_symbol
_atom_site_fract_x
_atom_site_fract_y
_atom_site_fract_z
La1 La 0.000 0.000 0.227
La2 La 0.000 0.000 0.773
Sm1 Sm 0.500 0.500 0.500
Cd1 Cd 0.500 0.500 0.000
```

energy above the lowest structure with this stoichiometry: 0.012 eV per atom

=====

Here is a relaxed La2SmCd crystal from Alexandria. Energies are from PBE-GGA.

Structure (CIF):
```
data_La2SmCd
_chemical_formula_sum 'La2 Sm1 Cd1'
_cell_length_a 5.679
_cell_length_b 5.679
_cell_length_c 5.679
_cell_angle_alpha 60.00
_cell_angle_beta 60.00
_cell_angle_gamma 60.00
_space_group_name_H-M_alt 'P 1'
_space_group_IT_number 1
_space_group_name_Hall 'P 1'
loop_
_atom_site_label
_atom_site_type_symbol
_atom_site_fract_x
_atom_site_fract_y
_atom_site_fract_z
La1 La 0.250 0.250 0.250
La2 La 0.750 0.750 0.750
Sm1 Sm 0.000 0.000 0.000
Cd1 Cd 0.500 0.500 0.500
```

energy above the lowest structure with this stoichiometry: 0.108 eV per atom

=====

Here is a relaxed La2Sm3Cd crystal from Alexandria. Energies are from PBE-GGA.

Structure (CIF):
```
data_La2Sm3Cd
_chemical_formula_sum 'La2 Sm3 Cd1'
_cell_length_a 8.070
_cell_length_b 8.070
_cell_length_c 5.101
_cell_angle_alpha 90.00
_cell_angle_beta 90.00
_cell_angle_gamma 144.04
_space_group_name_H-M_alt 'P 1'
_space_group_IT_number 1
_space_group_name_Hall 'P 1'
loop_
_atom_site_label
_atom_site_type_symbol
_atom_site_fract_x
_atom_site_fract_y
_atom_site_fract_z
La1 La 0.165 0.835 0.000
La2 La 0.835 0.165 0.000
Sm1 Sm 0.000 0.000 0.500
Sm2 Sm 0.336 0.664 0.500
Sm3 Sm 0.664 0.336 0.500
Cd1 Cd 0.500 0.500 0.000
```

energy above the lowest structure with this stoichiometry: 0.000 eV per atom

=====

Here is a relaxed La8SmCd2 crystal from Alexandria. Energies are from PBE-GGA.

Structure (CIF):
```
data_La8SmCd2
_chemical_formula_sum 'La8 Sm1 Cd2'
_cell_length_a 9.141
_cell_length_b 9.141
_cell_length_c 8.617
_cell_angle_alpha 112.49
_cell_angle_beta 112.49
_cell_angle_gamma 34.91
_space_group_name_H-M_alt 'P 1'
_space_group_IT_number 1
_space_group_name_Hall 'P 1'
loop_
_atom_site_label
_atom_site_type_symbol
_atom_site_fract_x
_atom_site_fract_y
_atom_site_fract_z
La1 La 0.050 0.050 0.240
La2 La 0.148 0.148 0.703
La3 La 0.312 0.312 0.545
La4 La 0.398 0.398 0.033
La5 La 0.602 0.602 0.967
La6 La 0.688 0.688 0.455
La7 La 0.852 0.852 0.297
La8 La 0.950 0.950 0.760
Sm1 Sm 0.500 0.500 0.500
Cd1 Cd 0.220 0.220 0.131
Cd2 Cd 0.780 0.780 0.869
```

energy above the lowest structure with this stoichiometry: 0.000 eV per atom

=====

The records above yield formation enthalpy at 0 K values of -319; -70; -146; -51; -45; -84 meV per atom, respectively.
The records above yield mass density values of 7.6; 6.7; 6.8; 6.9; 7.2; 6.5 Mg/m³, respectively.